[1]
Entry from Alexandria: a relaxed TmPu2Ga crystal (GGA-PBE).

Output
N(E_F): 8.6 states/eV/cell
Energy above the most stable polymorph in this dataset: 0.000 eV/atom

abc: 4.3811 4.3811 4.9803
angles: 90.00 90.00 90.00
Last column: nearest neighbours and their distance in Å.
Space group P4/mmm (No. 123)
Asymmetric unit:
Tm 0.0000 0.0000 0.0000 x1  4 Ga 3.10, 8 Pu 3.32
Pu 0.0000 0.5000 0.5000 x2  4 Pu 3.10, 4 Tm 3.32, 4 Ga 3.32
Ga 0.5000 0.5000 0.0000 x1  4 Tm 3.10, 8 Pu 3.32

***

[2]
Entry from Alexandria: a relaxed Ba2YPd2 crystal (GGA-PBE).

Output
N(E_F): 13.4 states/eV/cell
Energy above the most stable polymorph in this dataset: 0.316 eV/atom

abc: 9.1571 9.1571 3.5325
angles: 90.00 90.00 90.00
Last column: nearest neighbours and their distance in Å.
Space group P4/mbm (No. 127)
Asymmetric unit:
Ba 0.1348 0.3652 0.0000 x4  6 Pd 3.05-3.35
Y 0.0000 0.0000 0.0000 x2  2 Y 3.53, 4 Ba 3.56, 8 Pd 3.82
Pd 0.1732 0.6732 0.5000 x4  6 Ba 3.05-3.35